meta-GGA SCAN Sc2GeN, single point on PBEsol structure; E_form (uncorrected) = -3.9 eV/f.u.; M_tot = 0.00 μB/atom; DOS at the Fermi energy = 1.59 states/eV per cell; ρ = 4.270 g cm⁻³; final energy = -15.19 eV per atom
1.0
-3.0985 0.5694 -0.5477
-2.2142 -1.1424 2.0043
-1.3195 6.3095 4.6891
Sc Ge N
2 1 1
direct
0.8838 0.8838 0.3485
0.1162 0.1162 0.6515
0.0000 0.0000 0.0000
0.5000 0.5000 0.5000